Compound: TaMo2F2
Source: Alexandria
Functional: PBE with a Hubbard U
Structure: relaxed

The structure in extended XYZ format:
```
5
Lattice="3.309 0.000 0.000 0.000 3.309 0.000 1.654 1.654 6.354" Properties=species:S:1:pos:R:3 pbc="T T T"
F 3.309 1.654 3.177
Ta 0.000 0.000 0.000
Mo 1.654 1.654 1.556
F 1.654 3.309 3.177
Mo 3.309 3.309 4.798
```

Values from the calculation:
**Size of the total moment**: 0.00 Bohr magnetons per cell
**Space group**: No. 139
**ρ**: 9.8 g/cm3
**DOS at the Fermi energy**: 1.8 states/eV per cell
**Relative energy among the computed polymorphs**: 0 meV/atom